w | This record from Alexandria via LeMat-Bulk describes a relaxed BeAgP2Cl crystal. The functional is PBE.

a = 4.0021 Å, b = 4.0021 Å, c = 7.3598 Å
α = 90.00°, β = 90.00°, γ = 90.00°
Closest atoms and distances in Å follow each position.
Element x y z (fractional)
1 P 0.0000 0.5000 0.0000  2 Be 2.00
2 Be 0.0000 0.0000 0.0000  4 P 2.00
3 Ag 0.5000 0.5000 0.5000  4 Cl 2.83
4 Cl 0.0000 0.0000 0.5000  4 Ag 2.83
5 P 0.5000 0.0000 0.0000  2 Be 2.00

## Properties
**Symmetry**: P4/mmm (123)


x | This record from Alexandria via LeMat-Bulk describes a relaxed BeAgP2Cl crystal. The functional is PBE.

a = 4.8009 Å, b = 4.8009 Å, c = 5.1061 Å
α = 90.00°, β = 90.00°, γ = 90.00°
Closest atoms and distances in Å follow each position.
Element x y z (fractional)
1 P 0.5000 0.0000 0.0000  2 Ag 2.40
2 P 0.0000 0.5000 0.0000  2 Ag 2.40
3 Ag 0.0000 0.0000 0.0000  4 P 2.40, 2 Cl 2.55
4 Cl 0.0000 0.0000 0.5000  2 Ag 2.55
5 Be 0.5000 0.5000 0.5000  4 Cl 3.39, 8 P 3.50

## Properties
**Symmetry**: P4/mmm (123)


Here are the energies relative to the best structure, in eV/atom: w 0.000; x 0.868.


w | This record from Alexandria via LeMat-Bulk describes a relaxed BeAgPCl2 crystal. The functional is PBE.

a = 5.0257 Å, b = 5.0257 Å, c = 4.9719 Å
α = 90.00°, β = 90.00°, γ = 90.00°
Closest atoms and distances in Å follow each position.
Element x y z (fractional)
1 P 0.0000 0.0000 0.5000  2 Ag 2.49
2 Cl 0.5000 0.0000 0.0000  2 Ag 2.51
3 Be 0.5000 0.5000 0.5000  8 Cl 3.53, 4 P 3.55
4 Ag 0.0000 0.0000 0.0000  2 P 2.49, 4 Cl 2.51
5 Cl 0.0000 0.5000 0.0000  2 Ag 2.51

## Properties
**Symmetry**: P4/mmm (123)


x | This record from Alexandria via LeMat-Bulk describes a relaxed BeAgPCl2 crystal. The functional is PBE.

a = 4.1012 Å, b = 4.1012 Å, c = 6.6070 Å
α = 90.00°, β = 90.00°, γ = 90.00°
Closest atoms and distances in Å follow each position.
Element x y z (fractional)
1 Cl 0.5000 0.0000 0.0000  2 Be 2.05
2 Cl 0.0000 0.5000 0.0000  2 Be 2.05
3 Be 0.0000 0.0000 0.0000  4 Cl 2.05
4 Ag 0.5000 0.5000 0.5000  4 P 2.90
5 P 0.0000 0.0000 0.5000  4 Ag 2.90

## Properties
**Symmetry**: P4/mmm (123)


Here are the energies relative to the best structure, in eV/atom: w 0.746; x 0.000.


w | This record from Alexandria via LeMat-Bulk describes a relaxed BeAgS2Cl crystal. The functional is PBE.

a = 4.8525 Å, b = 4.8525 Å, c = 4.8347 Å
α = 90.00°, β = 90.00°, γ = 90.00°
Closest atoms and distances in Å follow each position.
Element x y z (fractional)
1 Be 0.5000 0.5000 0.5000  8 S 3.42, 4 Cl 3.43
2 S 0.5000 0.0000 0.0000  2 Ag 2.43
3 Cl 0.0000 0.0000 0.5000  2 Ag 2.42
4 Ag 0.0000 0.0000 0.0000  2 Cl 2.42, 4 S 2.43
5 S 0.0000 0.5000 0.0000  2 Ag 2.43

## Properties
**Symmetry**: P4/mmm (123)


x | This record from Alexandria via LeMat-Bulk describes a relaxed BeAgS2Cl crystal. The functional is PBE.

a = 4.0180 Å, b = 4.0180 Å, c = 6.8810 Å
α = 90.00°, β = 90.00°, γ = 90.00°
Closest atoms and distances in Å follow each position.
Element x y z (fractional)
1 Cl 0.0000 0.0000 0.5000  4 Ag 2.84
2 Ag 0.5000 0.5000 0.5000  4 Cl 2.84
3 S 0.0000 0.5000 0.0000  2 Be 2.01
4 Be 0.0000 0.0000 0.0000  4 S 2.01
5 S 0.5000 0.0000 0.0000  2 Be 2.01

## Properties
**Symmetry**: P4/mmm (123)


Here are the energies relative to the best structure, in eV/atom: w 0.903; x 0.000.


w | This record from Alexandria via LeMat-Bulk describes a relaxed BeAgSCl2 crystal. The functional is PBE.

a = 4.8076 Å, b = 4.8076 Å, c = 5.1475 Å
α = 90.00°, β = 90.00°, γ = 90.00°
Closest atoms and distances in Å follow each position.
Element x y z (fractional)
1 S 0.0000 0.0000 0.5000  2 Ag 2.57
2 Be 0.5000 0.5000 0.5000  4 S 3.40, 8 Cl 3.52
3 Ag 0.0000 0.0000 0.0000  4 Cl 2.40, 2 S 2.57
4 Cl 0.0000 0.5000 0.0000  2 Ag 2.40
5 Cl 0.5000 0.0000 0.0000  2 Ag 2.40

## Properties
**Symmetry**: P4/mmm (123)


x | This record from Alexandria via LeMat-Bulk describes a relaxed BeAgSCl2 crystal. The functional is PBE.

a = 4.6928 Å, b = 4.6928 Å, c = 4.2988 Å
α = 90.00°, β = 90.00°, γ = 90.00°
Closest atoms and distances in Å follow each position.
Element x y z (fractional)
1 Cl 0.5000 0.0000 0.0000  2 Be 2.35
2 Cl 0.0000 0.5000 0.0000  2 Be 2.35
3 S 0.0000 0.0000 0.5000  2 Be 2.15
4 Be 0.0000 0.0000 0.0000  2 S 2.15, 4 Cl 2.35
5 Ag 0.5000 0.5000 0.5000  8 Cl 3.18, 4 S 3.32

## Properties
**Symmetry**: P4/mmm (123)


Here are the energies relative to the best structure, in eV/atom: w 0.795; x 0.000.


w | This record from Alexandria via LeMat-Bulk describes a relaxed BeCoAg crystal. The functional is PBE.

a = 2.6800 Å, b = 2.6800 Å, c = 6.0115 Å
α = 90.00°, β = 90.00°, γ = 120.00°
Closest atoms and distances in Å follow each position.
Element x y z (fractional)
1 Ag 0.0000 0.0000 0.0134  3 Be 2.59, 6 Ag 2.68, 3 Co 2.79
2 Co 0.6667 0.3333 0.6279  3 Be 2.24
3 Be 0.3333 0.6667 0.3587  3 Co 2.24

## Properties
**Symmetry**: P3m1 (156)


x | This record from Alexandria via LeMat-Bulk describes a relaxed BeCoAg crystal. The functional is PBE.

a = 5.2208 Å, b = 5.2205 Å, c = 2.7214 Å
α = 74.90°, β = 74.89°, γ = 30.22°
Closest atoms and distances in Å follow each position.
Element x y z (fractional)
1 Be 0.3129 0.3129 0.6871  4 Co 2.23
2 Co 0.6963 0.6963 0.3037  4 Be 2.23
3 Ag 0.9909 0.9909 0.0091  4 Be 2.59, 4 Ag 2.72, 5 Co 2.77-2.86

## Properties
**Symmetry**: I4mm (107)


y | This record from Alexandria via LeMat-Bulk describes a relaxed BeCoAg crystal. The functional is PBE.

a = 3.8041 Å, b = 3.8041 Å, c = 3.8041 Å
α = 60.00°, β = 60.00°, γ = 60.00°
Closest atoms and distances in Å follow each position.
Element x y z (fractional)
1 Ag 0.5000 0.5000 0.5000  4 Be 2.33
2 Co 0.0000 0.0000 0.0000  4 Be 2.33
3 Be 0.7500 0.7500 0.7500  4 Co 2.33, 4 Ag 2.33

## Properties
**Symmetry**: F-43m (216)


Here are the energies relative to the best structure, in eV/atom: w 0.120; x 0.000; y 0.278.


w | This record from Alexandria via LeMat-Bulk describes a relaxed BeCo3Ag crystal. The functional is PBE.

a = 3.9551 Å, b = 3.9551 Å, c = 3.9551 Å
α = 90.00°, β = 90.00°, γ = 90.00°
Closest atoms and distances in Å follow each position.
Element x y z (fractional)
1 Be 0.0000 0.0000 0.0000  6 Co 1.98
2 Co 0.5000 0.0000 0.0000  2 Be 1.98
3 Co 0.0000 0.5000 0.0000  2 Be 1.98
4 Co 0.0000 0.0000 0.5000  2 Be 1.98
5 Ag 0.5000 0.5000 0.5000  12 Co 2.80

## Properties
**Symmetry**: Pm-3m (221)


x | This record from Alexandria via LeMat-Bulk describes a relaxed BeCo3Ag crystal. The functional is PBE.

a = 4.5999 Å, b = 4.5999 Å, c = 4.5999 Å
α = 90.00°, β = 90.00°, γ = 90.00°
Closest atoms and distances in Å follow each position.
Element x y z (fractional)
1 Ag 0.0000 0.0000 0.0000  6 Co 2.30
2 Be 0.5000 0.5000 0.5000  12 Co 3.25
3 Co 0.0000 0.5000 0.0000  2 Ag 2.30
4 Co 0.5000 0.0000 0.0000  2 Ag 2.30
5 Co 0.0000 0.0000 0.5000  2 Ag 2.30

## Properties
**Symmetry**: Pm-3m (221)


Here are the energies relative to the best structure, in eV/atom: w 0.000; x 1.451.


w | This record from Alexandria via LeMat-Bulk describes a relaxed NaBeCoAg2 crystal. The functional is PBE.

a = 4.7244 Å, b = 4.4560 Å, c = 4.7244 Å
α = 90.00°, β = 90.00°, γ = 90.00°
Closest atoms and distances in Å follow each position.
Element x y z (fractional)
1 Co 0.5000 0.5000 0.5000  8 Ag 3.25, 4 Be 3.34
2 Ag 0.0000 0.0000 0.5000  2 Na 2.36
3 Ag 0.5000 0.0000 0.0000  2 Na 2.36
4 Na 0.0000 0.0000 0.0000  2 Be 2.23, 4 Ag 2.36
5 Be 0.0000 0.5000 0.0000  2 Na 2.23

## Properties
**Symmetry**: P4/mmm (123)


x | This record from Alexandria via LeMat-Bulk describes a relaxed NaBeCoAg2 crystal. The functional is PBE.

a = 4.4201 Å, b = 4.7183 Å, c = 4.4201 Å
α = 90.00°, β = 90.00°, γ = 90.00°
Closest atoms and distances in Å follow each position.
Element x y z (fractional)
1 Co 0.5000 0.5000 0.5000  4 Na 3.13, 8 Ag 3.23
2 Ag 0.0000 0.0000 0.5000  2 Be 2.21
3 Be 0.0000 0.0000 0.0000  4 Ag 2.21, 2 Na 2.36
4 Ag 0.5000 0.0000 0.0000  2 Be 2.21
5 Na 0.0000 0.5000 0.0000  2 Be 2.36

## Properties
**Symmetry**: P4/mmm (123)


Here are the energies relative to the best structure, in eV/atom: w 0.696; x 0.000.


w | This record from Alexandria via LeMat-Bulk describes a relaxed Be3CrAg crystal. The functional is PBE.

a = 4.1062 Å, b = 4.1062 Å, c = 4.1062 Å
α = 90.00°, β = 90.00°, γ = 90.00°
Closest atoms and distances in Å follow each position.
Element x y z (fractional)
1 Be 0.5000 0.0000 0.0000  2 Cr 2.05
2 Ag 0.5000 0.5000 0.5000  12 Be 2.90
3 Be 0.0000 0.5000 0.0000  2 Cr 2.05
4 Cr 0.0000 0.0000 0.0000  6 Be 2.05
5 Be 0.0000 0.0000 0.5000  2 Cr 2.05

## Properties
**Symmetry**: Pm-3m (221)


x | This record from Alexandria via LeMat-Bulk describes a relaxed Be3CrAg crystal. The functional is PBE.

a = 4.1504 Å, b = 4.1504 Å, c = 4.1504 Å
α = 90.00°, β = 90.00°, γ = 90.00°
Closest atoms and distances in Å follow each position.
Element x y z (fractional)
1 Ag 0.0000 0.0000 0.0000  6 Be 2.08
2 Cr 0.5000 0.5000 0.5000  12 Be 2.93
3 Be 0.0000 0.5000 0.0000  2 Ag 2.08
4 Be 0.0000 0.0000 0.5000  2 Ag 2.08
5 Be 0.5000 0.0000 0.0000  2 Ag 2.08

## Properties
**Symmetry**: Pm-3m (221)


Here are the energies relative to the best structure, in eV/atom: w 0.000; x 0.031.